1.
Density functional theory data (GGA-PBE) for a geometry-optimized SrHf2Ga2 structure.

Cell: 8.501 8.501 3.123 Å, 90.00 90.00 90.00°
Fractional positions:
1 Sr 0.000 0.000 0.000
2 Sr 0.500 0.500 0.000
3 Hf 0.130 0.370 0.500
4 Hf 0.370 0.870 0.500
5 Hf 0.630 0.130 0.500
6 Hf 0.870 0.630 0.500
7 Ga 0.164 0.664 0.000
8 Ga 0.336 0.164 0.000
9 Ga 0.664 0.836 0.000
10 Ga 0.836 0.336 0.000

Calculated values
As for the energy of formation from the pure elements: -15 kJ/mol of atoms. The magnetic moment comes out at 0.00 μB/cell. The raw total energy is -56.88 eV for the cell shown. The value obtained for the theoretical density is 8.60 Mg/m³. The value obtained for the excess energy over the best structure of this formula in the dataset is 0 meV/atom.

---

2.
Density functional theory data (GGA-PBE) for a geometry-optimized SrHf3Ga structure.

Cell: 5.135 5.135 5.135 Å, 90.00 90.00 90.00°
Fractional positions:
1 Sr 0.000 0.000 0.000
2 Hf 0.000 0.000 0.500
3 Hf 0.000 0.500 0.000
4 Hf 0.500 0.000 0.000
5 Ga 0.500 0.500 0.500

Calculated values
As for the energy of formation from the pure elements: 203 kJ/mol of atoms. The magnetic moment comes out at 0.00 μB/cell. The raw total energy is -24.07 eV for the cell shown. The value obtained for the theoretical density is 8.50 Mg/m³. The value obtained for the excess energy over the best structure of this formula in the dataset is 1482 meV/atom.

---

3.
Density functional theory data (GGA-PBE) for a geometry-optimized SrHf3Ga structure.

Cell: 5.184 5.184 5.184 Å, 90.00 90.00 90.00°
Fractional positions:
1 Sr 0.000 0.000 0.000
2 Hf 0.000 0.500 0.500
3 Hf 0.500 0.000 0.500
4 Hf 0.500 0.500 0.000
5 Ga 0.500 0.500 0.500

Calculated values
As for the energy of formation from the pure elements: 60 kJ/mol of atoms. The magnetic moment comes out at 1.50 μB/cell. The raw total energy is -31.47 eV for the cell shown. The value obtained for the theoretical density is 8.26 Mg/m³. The value obtained for the excess energy over the best structure of this formula in the dataset is 0 meV/atom.

---

4.
Density functional theory data (GGA-PBE) for a geometry-optimized SrHf2Ga2 structure.

Cell: 6.353 6.353 6.353 Å, 133.55 133.55 67.79°
Fractional positions:
1 Sr 0.000 0.000 0.000
2 Hf 0.342 0.342 0.000
3 Hf 0.658 0.658 0.000
4 Ga 0.250 0.750 0.500
5 Ga 0.750 0.250 0.500

Calculated values
As for the energy of formation from the pure elements: 5 kJ/mol of atoms. The magnetic moment comes out at 0.00 μB/cell. The raw total energy is -27.41 eV for the cell shown. The value obtained for the theoretical density is 7.33 Mg/m³. The value obtained for the excess energy over the best structure of this formula in the dataset is 206 meV/atom.

---

5.
Density functional theory data (GGA-PBE) for a geometry-optimized HfTa2Ga structure.

Cell: 3.996 3.996 4.594 Å, 90.00 90.00 90.00°
Fractional positions:
1 Hf 0.000 0.000 0.000
2 Ta 0.000 0.500 0.500
3 Ta 0.500 0.000 0.500
4 Ga 0.500 0.500 0.000

Calculated values
As for the energy of formation from the pure elements: -12 kJ/mol of atoms. The magnetic moment comes out at 0.00 μB/cell. The raw total energy is -37.20 eV for the cell shown. The value obtained for the theoretical density is 13.81 Mg/m³.

---

6.
Density functional theory data (GGA-PBE) for a geometry-optimized HfTaGa4 structure.

Cell: 3.218 3.218 10.280 Å, 90.00 90.00 100.97°
Fractional positions:
1 Hf 0.000 0.000 0.000
2 Ta 0.500 0.500 0.500
3 Ga 0.000 0.000 0.330
4 Ga 0.000 0.000 0.670
5 Ga 0.500 0.500 0.179
6 Ga 0.500 0.500 0.821

Calculated values
As for the energy of formation from the pure elements: -12 kJ/mol of atoms. The magnetic moment comes out at 0.00 μB/cell. The raw total energy is -34.67 eV for the cell shown. The value obtained for the theoretical density is 10.14 Mg/m³. The value obtained for the excess energy over the best structure of this formula in the dataset is 43 meV/atom.

---

7.
Density functional theory data (GGA-PBE) for a geometry-optimized Hf2TaGa4 structure.

Cell: 7.633 7.633 7.633 Å, 142.75 142.75 53.70°
Fractional positions:
1 Hf 0.107 0.107 0.000
2 Hf 0.893 0.893 0.000
3 Ta 0.500 0.500 0.000
4 Ga 0.000 0.500 0.500
5 Ga 0.309 0.309 0.000
6 Ga 0.500 0.000 0.500
7 Ga 0.691 0.691 0.000

Calculated values
As for the energy of formation from the pure elements: 30 kJ/mol of atoms. The magnetic moment comes out at 0.00 μB/cell. The raw total energy is -41.69 eV for the cell shown. The value obtained for the theoretical density is 8.38 Mg/m³. The value obtained for the excess energy over the best structure of this formula in the dataset is 520 meV/atom.

---

8.
Density functional theory data (GGA-PBE) for a geometry-optimized HfTa3Ga4 structure.

Cell: 9.107 5.896 5.161 Å, 90.00 90.00 90.00°
Fractional positions:
1 Hf 0.000 0.124 0.000
2 Hf 0.500 0.876 0.500
3 Ta 0.000 0.637 0.894
4 Ta 0.218 0.113 0.579
5 Ta 0.282 0.887 0.079
6 Ta 0.500 0.363 0.394
7 Ta 0.718 0.887 0.079
8 Ta 0.782 0.113 0.579
9 Ga 0.000 0.402 0.431
10 Ga 0.000 0.829 0.390
11 Ga 0.242 0.387 0.102
12 Ga 0.258 0.613 0.602
13 Ga 0.500 0.171 0.890
14 Ga 0.500 0.598 0.931
15 Ga 0.742 0.613 0.602
16 Ga 0.758 0.387 0.102

Calculated values
As for the energy of formation from the pure elements: -12 kJ/mol of atoms. The magnetic moment comes out at 0.00 μB/cell. The raw total energy is -117.20 eV for the cell shown. The value obtained for the theoretical density is 11.99 Mg/m³.

---

9.
Density functional theory data (GGA-PBE) for a geometry-optimized Hf3Ta2Ga4 structure.

Cell: 6.109 6.109 8.588 Å, 122.65 122.65 39.22°
Fractional positions:
1 Hf 0.000 0.000 0.000
2 Hf 0.346 0.346 0.319
3 Hf 0.654 0.654 0.681
4 Ta 0.340 0.340 0.666
5 Ta 0.660 0.660 0.334
6 Ga 0.042 0.042 0.388
7 Ga 0.315 0.315 0.969
8 Ga 0.685 0.685 0.031
9 Ga 0.958 0.958 0.612

Calculated values
As for the energy of formation from the pure elements: -27 kJ/mol of atoms. The magnetic moment comes out at 0.00 μB/cell. The raw total energy is -68.23 eV for the cell shown. The value obtained for the theoretical density is 11.76 Mg/m³.

---

10.
Density functional theory data (GGA-PBE) for a geometry-optimized Hf5TaGa5 structure.

Cell: 7.612 7.612 6.330 Å, 90.00 90.00 143.87°
Fractional positions:
1 Hf 0.000 0.000 0.000
2 Hf 0.362 0.638 0.237
3 Hf 0.362 0.638 0.763
4 Hf 0.638 0.362 0.237
5 Hf 0.638 0.362 0.763
6 Ta 0.000 0.000 0.500
7 Ga 0.190 0.810 0.000
8 Ga 0.192 0.808 0.500
9 Ga 0.500 0.500 0.500
10 Ga 0.808 0.192 0.500
11 Ga 0.810 0.190 0.000

Calculated values
As for the energy of formation from the pure elements: -10 kJ/mol of atoms. The magnetic moment comes out at 0.00 μB/cell. The raw total energy is -77.89 eV for the cell shown. The value obtained for the theoretical density is 10.92 Mg/m³.

---

11.
Density functional theory data (GGA-PBE) for a geometry-optimized HfTa2Ga structure.

Cell: 4.232 3.599 10.100 Å, 90.00 102.04 90.00°
Fractional positions:
1 Hf 0.194 0.250 0.389
2 Hf 0.806 0.750 0.611
3 Ta 0.061 0.750 0.124
4 Ta 0.443 0.750 0.885
5 Ta 0.557 0.250 0.115
6 Ta 0.939 0.250 0.876
7 Ga 0.337 0.250 0.672
8 Ga 0.663 0.750 0.328

Calculated values
As for the energy of formation from the pure elements: -21 kJ/mol of atoms. The magnetic moment comes out at 0.00 μB/cell. The raw total energy is -75.10 eV for the cell shown. The value obtained for the theoretical density is 13.47 Mg/m³.

---

12.
Density functional theory data (GGA-PBE) for a geometry-optimized Hf2TaGa structure.

Cell: 9.723 9.723 9.723 Å, 18.39 18.39 18.39°
Fractional positions:
1 Hf 0.000 0.000 0.000
2 Hf 0.170 0.170 0.170
3 Ta 0.418 0.418 0.418
4 Ga 0.585 0.585 0.585

Calculated values
As for the energy of formation from the pure elements: -3 kJ/mol of atoms. The magnetic moment comes out at 0.00 μB/cell. The raw total energy is -34.90 eV for the cell shown. The value obtained for the theoretical density is 12.62 Mg/m³.

---

Q: What is the formula in the tenth record?
A: Hf5TaGa5